# Li2AcIr | the Alexandria database | PBE | optimized geometry
# E, eV for the cell shown: -68.34
# Formation energy, kJ/mol of formula units: -28
# ΔE to the lowest computed polymorph, meV per atom: 172
# SG: Fm-3m, No. 225
data_Li2AcIr
_space_group_name_H-M_alt 'P 1'
_space_group_IT_number 1
_cell_length_a 6.714
_cell_length_b 6.714
_cell_length_c 6.714
_cell_angle_alpha 90.00
_cell_angle_beta 90.00
_cell_angle_gamma 90.00
loop_
_space_group_symop_operation_xyz
'x,y,z'
loop_
_atom_site_label
_atom_site_type_symbol
_atom_site_fract_x
_atom_site_fract_y
_atom_site_fract_z
_atom_site_occupancy
Li1 Li 0.250 0.250 0.250 1
Li2 Li 0.250 0.250 0.750 1
Li3 Li 0.250 0.750 0.250 1
Li4 Li 0.250 0.750 0.750 1
Li5 Li 0.750 0.250 0.250 1
Li6 Li 0.750 0.250 0.750 1
Li7 Li 0.750 0.750 0.250 1
Li8 Li 0.750 0.750 0.750 1
Ac1 Ac 0.000 0.000 0.000 1
Ac2 Ac 0.000 0.500 0.500 1
Ac3 Ac 0.500 0.000 0.500 1
Ac4 Ac 0.500 0.500 0.000 1
Ir1 Ir 0.000 0.000 0.500 1
Ir2 Ir 0.000 0.500 0.000 1
Ir3 Ir 0.500 0.000 0.000 1
Ir4 Ir 0.500 0.500 0.500 1